Below is crystalline PuTl2CoO6 at its relaxed geometry, with properties calculated at the PBE+U level.

abc: 5.845 5.845 5.845
angles: 59.91 59.91 59.91
Atoms (fractional coordinates):
Pu: 0.000 0.000 0.000
Tl: 0.249 0.249 0.249
Tl: 0.751 0.751 0.751
Co: 0.500 0.500 0.500
O: 0.244 0.754 0.754
O: 0.246 0.246 0.756
O: 0.246 0.756 0.246
O: 0.754 0.244 0.754
O: 0.754 0.754 0.244
O: 0.756 0.246 0.246

Calculated values
Total DFT energy (no corrections) ... -68.0 eV for the cell shown